# Dy2TmTl (PBE, relaxed)
# - SG: Immm, No. 71
# - Energy relative to the lowest polymorph listed for this composition: 11.4 meV/atom
# - Crystal system: orthorhombic
# - E_tot: -16.69 eV/f.u.
# - N(E_F): 3.48 states/eV per cell
data_Dy2TmTl
_chemical_formula_sum 'Dy2 Tm1 Tl1'
_symmetry_space_group_name_H-M 'P 1'
_symmetry_Int_Tables_number 1
_symmetry_space_group_name_Hall 'P 1'
_cell_length_a 6.605
_cell_length_b 6.605
_cell_length_c 6.605
_cell_angle_alpha 146.29
_cell_angle_beta 132.38
_cell_angle_gamma 59.61
loop_
_atom_site_label
_atom_site_type_symbol
_atom_site_fract_x
_atom_site_fract_y
_atom_site_fract_z
Dy1 Dy 0.225 0.225 0.000
Dy2 Dy 0.775 0.775 0.000
Tm1 Tm 0.500 0.000 0.500
Tl1 Tl 0.000 0.500 0.500



# Dy2TmTl4 (PBE, relaxed)
# - SG: I4/mmm, No. 139
# - Energy relative to the lowest polymorph listed for this composition: 0.0 meV/atom
# - Crystal system: tetragonal
# - E_tot: -24.64 eV/f.u.
# - N(E_F): 6.15 states/eV per cell
data_Dy2TmTl4
_chemical_formula_sum 'Dy2 Tm1 Tl4'
_symmetry_space_group_name_H-M 'P 1'
_symmetry_Int_Tables_number 1
_symmetry_space_group_name_Hall 'P 1'
_cell_length_a 6.458
_cell_length_b 6.458
_cell_length_c 6.458
_cell_angle_alpha 110.05
_cell_angle_beta 110.05
_cell_angle_gamma 108.31
loop_
_atom_site_label
_atom_site_type_symbol
_atom_site_fract_x
_atom_site_fract_y
_atom_site_fract_z
Dy1 Dy 0.000 0.500 0.500
Dy2 Dy 0.500 0.000 0.500
Tm1 Tm 0.000 0.000 0.000
Tl1 Tl 0.000 0.000 0.500
Tl2 Tl 0.000 0.500 0.000
Tl3 Tl 0.500 0.000 0.000
Tl4 Tl 0.500 0.500 0.500



# DyTm5Tl6 (PBE, relaxed)
# - SG: C2/m, No. 12
# - Energy relative to the lowest polymorph listed for this composition: 0.0 meV/atom
# - Crystal system: monoclinic
# - E_tot: -44.73 eV/f.u.
# - N(E_F): 9.89 states/eV per cell
data_DyTm5Tl6
_chemical_formula_sum 'Dy1 Tm5 Tl6'
_symmetry_space_group_name_H-M 'P 1'
_symmetry_Int_Tables_number 1
_symmetry_space_group_name_Hall 'P 1'
_cell_length_a 9.228
_cell_length_b 9.228
_cell_length_c 5.326
_cell_angle_alpha 106.72
_cell_angle_beta 106.72
_cell_angle_gamma 120.29
loop_
_atom_site_label
_atom_site_type_symbol
_atom_site_fract_x
_atom_site_fract_y
_atom_site_fract_z
Dy1 Dy 0.000 0.000 0.000
Tm1 Tm 0.166 0.834 0.500
Tm2 Tm 0.333 0.667 0.000
Tm3 Tm 0.500 0.500 0.500
Tm4 Tm 0.667 0.333 0.000
Tm5 Tm 0.834 0.166 0.500
Tl1 Tl 0.084 0.419 0.251
Tl2 Tl 0.253 0.253 0.753
Tl3 Tl 0.419 0.084 0.251
Tl4 Tl 0.581 0.916 0.749
Tl5 Tl 0.747 0.747 0.247
Tl6 Tl 0.916 0.581 0.749



# DyTm6Tl (PBE, relaxed)
# - SG: C2/m, No. 12
# - Energy relative to the lowest polymorph listed for this composition: 87.9 meV/atom
# - Crystal system: monoclinic
# - E_tot: -33.56 eV/f.u.
# - N(E_F): 10.52 states/eV per cell
data_DyTm6Tl
_chemical_formula_sum 'Dy1 Tm6 Tl1'
_symmetry_space_group_name_H-M 'P 1'
_symmetry_Int_Tables_number 1
_symmetry_space_group_name_Hall 'P 1'
_cell_length_a 6.255
_cell_length_b 6.255
_cell_length_c 6.236
_cell_angle_alpha 96.20
_cell_angle_beta 96.20
_cell_angle_gamma 95.61
loop_
_atom_site_label
_atom_site_type_symbol
_atom_site_fract_x
_atom_site_fract_y
_atom_site_fract_z
Dy1 Dy 0.000 0.000 0.000
Tm1 Tm 0.147 0.523 0.279
Tm2 Tm 0.341 0.341 0.798
Tm3 Tm 0.477 0.853 0.721
Tm4 Tm 0.523 0.147 0.279
Tm5 Tm 0.659 0.659 0.202
Tm6 Tm 0.853 0.477 0.721
Tl1 Tl 0.000 0.000 0.500



# Dy3TmTl5 (PBE, relaxed)
# - SG: P6_3/mcm, No. 193
# - Crystal system: hexagonal
# - E_tot: -32.73 eV/f.u.
# - N(E_F): 15.01 states/eV per cell
data_Dy3TmTl5
_chemical_formula_sum 'Dy6 Tm2 Tl10'
_symmetry_space_group_name_H-M 'P 1'
_symmetry_Int_Tables_number 1
_symmetry_space_group_name_Hall 'P 1'
_cell_length_a 9.319
_cell_length_b 9.319
_cell_length_c 6.566
_cell_angle_alpha 90.00
_cell_angle_beta 90.00
_cell_angle_gamma 120.00
loop_
_atom_site_label
_atom_site_type_symbol
_atom_site_fract_x
_atom_site_fract_y
_atom_site_fract_z
Dy1 Dy 0.000 0.370 0.250
Dy2 Dy 0.000 0.630 0.750
Dy3 Dy 0.370 0.000 0.250
Dy4 Dy 0.370 0.370 0.750
Dy5 Dy 0.630 0.000 0.750
Dy6 Dy 0.630 0.630 0.250
Tm1 Tm 0.000 0.000 0.000
Tm2 Tm 0.000 0.000 0.500
Tl1 Tl 0.000 0.297 0.750
Tl2 Tl 0.000 0.703 0.250
Tl3 Tl 0.297 0.000 0.750
Tl4 Tl 0.297 0.297 0.250
Tl5 Tl 0.333 0.667 0.000
Tl6 Tl 0.333 0.667 0.500
Tl7 Tl 0.667 0.333 0.000
Tl8 Tl 0.667 0.333 0.500
Tl9 Tl 0.703 0.000 0.250
Tl10 Tl 0.703 0.703 0.750



# DyTm4Tl (PBE, relaxed)
# - SG: Cmc2_1, No. 36
# - Energy relative to the lowest polymorph listed for this composition: 143.2 meV/atom
# - Crystal system: orthorhombic
# - E_tot: -24.60 eV/f.u.
# - N(E_F): 14.65 states/eV per cell
data_DyTm4Tl
_chemical_formula_sum 'Dy2 Tm8 Tl2'
_symmetry_space_group_name_H-M 'P 1'
_symmetry_Int_Tables_number 1
_symmetry_space_group_name_Hall 'P 1'
_cell_length_a 10.811
_cell_length_b 10.811
_cell_length_c 6.439
_cell_angle_alpha 90.00
_cell_angle_beta 90.00
_cell_angle_gamma 150.74
loop_
_atom_site_label
_atom_site_type_symbol
_atom_site_fract_x
_atom_site_fract_y
_atom_site_fract_z
Dy1 Dy 0.063 0.937 0.500
Dy2 Dy 0.937 0.063 0.000
Tm1 Tm 0.138 0.862 0.015
Tm2 Tm 0.256 0.744 0.378
Tm3 Tm 0.318 0.682 0.856
Tm4 Tm 0.460 0.540 0.676
Tm5 Tm 0.540 0.460 0.176
Tm6 Tm 0.682 0.318 0.356
Tm7 Tm 0.744 0.256 0.878
Tm8 Tm 0.862 0.138 0.515
Tl1 Tl 0.398 0.602 0.250
Tl2 Tl 0.602 0.398 0.750



# Dy2Tm3Tl2 (PBE, relaxed)
# - SG: R-3m, No. 166
# - Crystal system: trigonal
# - E_tot: -28.70 eV/f.u.
# - N(E_F): 6.50 states/eV per cell
data_Dy2Tm3Tl2
_chemical_formula_sum 'Dy2 Tm3 Tl2'
_symmetry_space_group_name_H-M 'P 1'
_symmetry_Int_Tables_number 1
_symmetry_space_group_name_Hall 'P 1'
_cell_length_a 8.565
_cell_length_b 8.565
_cell_length_c 8.565
_cell_angle_alpha 36.44
_cell_angle_beta 36.44
_cell_angle_gamma 36.44
loop_
_atom_site_label
_atom_site_type_symbol
_atom_site_fract_x
_atom_site_fract_y
_atom_site_fract_z
Dy1 Dy 0.074 0.074 0.074
Dy2 Dy 0.926 0.926 0.926
Tm1 Tm 0.347 0.347 0.347
Tm2 Tm 0.500 0.500 0.500
Tm3 Tm 0.653 0.653 0.653
Tl1 Tl 0.217 0.217 0.217
Tl2 Tl 0.783 0.783 0.783



# DyTm2Tl4 (PBE, relaxed)
# - SG: I4/mmm, No. 139
# - Energy relative to the lowest polymorph listed for this composition: 0.0 meV/atom
# - Crystal system: tetragonal
# - E_tot: -24.45 eV/f.u.
# - N(E_F): 5.51 states/eV per cell
data_DyTm2Tl4
_chemical_formula_sum 'Dy1 Tm2 Tl4'
_symmetry_space_group_name_H-M 'P 1'
_symmetry_Int_Tables_number 1
_symmetry_space_group_name_Hall 'P 1'
_cell_length_a 6.435
_cell_length_b 6.435
_cell_length_c 6.435
_cell_angle_alpha 109.22
_cell_angle_beta 109.22
_cell_angle_gamma 109.98
loop_
_atom_site_label
_atom_site_type_symbol
_atom_site_fract_x
_atom_site_fract_y
_atom_site_fract_z
Dy1 Dy 0.000 0.000 0.000
Tm1 Tm 0.000 0.500 0.500
Tm2 Tm 0.500 0.000 0.500
Tl1 Tl 0.000 0.000 0.500
Tl2 Tl 0.000 0.500 0.000
Tl3 Tl 0.500 0.000 0.000
Tl4 Tl 0.500 0.500 0.500



# Dy2TmTl (PBE, relaxed)
# - SG: P4/mmm, No. 123
# - Energy relative to the lowest polymorph listed for this composition: 16.1 meV/atom
# - Crystal system: tetragonal
# - E_tot: -16.67 eV/f.u.
# - N(E_F): 5.33 states/eV per cell
data_Dy2TmTl
_chemical_formula_sum 'Dy2 Tm1 Tl1'
_symmetry_space_group_name_H-M 'P 1'
_symmetry_Int_Tables_number 1
_symmetry_space_group_name_Hall 'P 1'
_cell_length_a 3.585
_cell_length_b 3.585
_cell_length_c 9.195
_cell_angle_alpha 90.00
_cell_angle_beta 90.00
_cell_angle_gamma 90.00
loop_
_atom_site_label
_atom_site_type_symbol
_atom_site_fract_x
_atom_site_fract_y
_atom_site_fract_z
Dy1 Dy 0.000 0.000 0.233
Dy2 Dy 0.000 0.000 0.767
Tm1 Tm 0.500 0.500 0.500
Tl1 Tl 0.500 0.500 0.000



# DyYTmTl (PBE, relaxed)
# - SG: Pmmm, No. 47
# - Energy relative to the lowest polymorph listed for this composition: 0.0 meV/atom
# - Crystal system: orthorhombic
# - E_tot: -18.61 eV/f.u.
# - N(E_F): 4.76 states/eV per cell
data_DyYTmTl
_chemical_formula_sum 'Dy1 Y1 Tm1 Tl1'
_symmetry_space_group_name_H-M 'P 1'
_symmetry_Int_Tables_number 1
_symmetry_space_group_name_Hall 'P 1'
_cell_length_a 4.820
_cell_length_b 4.836
_cell_length_c 4.855
_cell_angle_alpha 90.00
_cell_angle_beta 90.00
_cell_angle_gamma 90.00
loop_
_atom_site_label
_atom_site_type_symbol
_atom_site_fract_x
_atom_site_fract_y
_atom_site_fract_z
Dy1 Dy 0.000 0.000 0.000
Y1 Y 0.500 0.000 0.500
Tm1 Tm 0.500 0.500 0.000
Tl1 Tl 0.000 0.500 0.500



# DyYTm2Tl2 (PBE, relaxed)
# - SG: Pmc2_1, No. 26
# - Crystal system: orthorhombic
# - E_tot: -26.36 eV/f.u.
# - N(E_F): 11.89 states/eV per cell
data_DyYTm2Tl2
_chemical_formula_sum 'Dy2 Y2 Tm4 Tl4'
_symmetry_space_group_name_H-M 'P 1'
_symmetry_Int_Tables_number 1
_symmetry_space_group_name_Hall 'P 1'
_cell_length_a 5.055
_cell_length_b 9.941
_cell_length_c 6.765
_cell_angle_alpha 90.00
_cell_angle_beta 90.00
_cell_angle_gamma 90.00
loop_
_atom_site_label
_atom_site_type_symbol
_atom_site_fract_x
_atom_site_fract_y
_atom_site_fract_z
Dy1 Dy 0.000 0.040 0.000
Dy2 Dy 0.000 0.960 0.500
Y1 Y 0.500 0.189 0.720
Y2 Y 0.500 0.811 0.220
Tm1 Tm 0.000 0.314 0.372
Tm2 Tm 0.000 0.686 0.872
Tm3 Tm 0.500 0.459 0.090
Tm4 Tm 0.500 0.541 0.590
Tl1 Tl 0.000 0.370 0.836
Tl2 Tl 0.000 0.630 0.336
Tl3 Tl 0.500 0.136 0.252
Tl4 Tl 0.500 0.864 0.752



# Dy2YTmTl2 (PBE, relaxed)
# - SG: Pmc2_1, No. 26
# - Crystal system: orthorhombic
# - E_tot: -26.53 eV/f.u.
# - N(E_F): 12.45 states/eV per cell
data_Dy2YTmTl2
_chemical_formula_sum 'Dy4 Y2 Tm2 Tl4'
_symmetry_space_group_name_H-M 'P 1'
_symmetry_Int_Tables_number 1
_symmetry_space_group_name_Hall 'P 1'
_cell_length_a 5.059
_cell_length_b 9.909
_cell_length_c 6.865
_cell_angle_alpha 90.00
_cell_angle_beta 90.00
_cell_angle_gamma 90.00
loop_
_atom_site_label
_atom_site_type_symbol
_atom_site_fract_x
_atom_site_fract_y
_atom_site_fract_z
Dy1 Dy 0.000 0.046 0.000
Dy2 Dy 0.000 0.954 0.500
Dy3 Dy 0.500 0.188 0.285
Dy4 Dy 0.500 0.812 0.785
Y1 Y 0.500 0.455 0.904
Y2 Y 0.500 0.545 0.404
Tm1 Tm 0.000 0.310 0.619
Tm2 Tm 0.000 0.690 0.119
Tl1 Tl 0.000 0.371 0.164
Tl2 Tl 0.000 0.629 0.664
Tl3 Tl 0.500 0.134 0.744
Tl4 Tl 0.500 0.866 0.244